# KPb2Au, relaxed, DFT PBE
data_KPb2Au
_chemical_formula_sum 'K4 Pb8 Au4'
_cell_length_a 7.613
_cell_length_b 7.613
_cell_length_c 7.613
_cell_angle_alpha 90.00
_cell_angle_beta 90.00
_cell_angle_gamma 90.00
_symmetry_space_group_name_H-M 'F m -3 m'
_symmetry_Int_Tables_number 225
_symmetry_space_group_name_Hall '-F 4 2 3'
loop_
_atom_site_label
_atom_site_fract_x
_atom_site_fract_y
_atom_site_fract_z
K1 0.000 0.000 0.000
Pb1 0.250 0.250 0.250
Au1 0.000 0.000 0.500
# * D(E_F): 0.230 states/eV per atom
# * size of the total moment: 0.00 μB/f.u.
# * energy of formation from the pure elements: 0.011 eV/atom